EuMgTlGa | the Alexandria database | GGA-PBE | optimized geometry; final energy = -18.55 eV for the cell shown; space group = F-43m; D(E_F) = 1.001 states/eV/f.u.
1.0
-2.889 -3.068 3.066
-1.613 -4.641 -1.736
2.037 -4.372 1.973
Eu Tl Mg Ga
1 1 1 1
direct
0.000 0.000 0.000
0.750 0.750 0.750
0.500 0.500 0.500
0.250 0.250 0.250